Entry from Alexandria: an optimized crystal structure of CuSi2Rh (PBE-GGA).

space-group type = Pmm2 (25)
crystal system = orthorhombic
ρ = 6954 kg/m³
DOS(E_F) = 0.3897 states/eV per atom
ΔE_f (raw) = -280 meV/atom
final energy = -23.413 eV for the cell shown

Unit cell a=4.4397 b=2.8638 c=4.1814 alpha=89.98 beta=90.00 gamma=90.00
Positions (direct):
Cu 0.0000 0.3748 0.4988
Si 0.0000 0.8747 0.0121
Si 0.5000 0.3752 0.2362
Rh 0.5000 0.8753 0.7529

***

Entry from Alexandria: an optimized crystal structure of BePt4Rh (PBE-GGA).

space-group type = F-43m (216)
crystal system = cubic
energy of formation from the pure elements = 2.10 eV per formula unit
ρ = 14987 kg/m³
DOS(E_F) = 0.9494 states/eV per atom
final energy = -33.145 eV for the cell shown

Unit cell a=5.1902 b=5.1902 c=5.1902 alpha=60.00 beta=60.00 gamma=60.00
Each line ends with the local moment (μB).
Positions (direct):
Pt 0.6250 0.1251 0.6250  0.05
Pt 0.6250 0.6250 0.1251  0.05
Pt 0.1251 0.6250 0.6250  0.05
Pt 0.6250 0.6250 0.6250  0.05
Rh 0.2500 0.2500 0.2500  0.81
Be 0.0000 0.0000 0.0000  -0.01

***

Entry from Alexandria: an optimized crystal structure of AlHgBr (PBE-GGA).

space-group type = P3m1 (156)
crystal system = trigonal
ρ = 5506 kg/m³
polymorph energy (0 for the lowest one) = 0.0000 eV/atom
DOS(E_F) = 0.0508 states/eV per atom
ΔE_f (raw) = -165 meV/atom
final energy = -6.213 eV for the cell shown

Unit cell a=4.3301 b=4.3301 c=5.7112 alpha=90.00 beta=90.00 gamma=120.00
Positions (direct):
Hg 0.3333 0.6667 0.7450
Al 0.0000 0.0000 0.0021
Br 0.6667 0.3333 0.2529

***

Entry from Alexandria: an optimized crystal structure of TiVZn2 (PBE-GGA).

space-group type = P4/mmm (123)
crystal system = tetragonal
energy of formation from the pure elements = -0.32 eV per formula unit
ρ = 6558 kg/m³
polymorph energy (0 for the lowest one) = 0.0000 eV/atom
DOS(E_F) = 0.7597 states/eV per atom
final energy = -19.885 eV for the cell shown

Unit cell a=3.9118 b=3.8555 c=3.8555 alpha=90.00 beta=90.00 gamma=90.00
Positions (direct):
Zn 0.0000 0.0000 0.5000
Zn 0.0000 0.5000 0.0000
V 0.5000 0.5000 0.5000
Ti 0.5000 0.0000 0.0000